1.
Pm2Sc2Ge2C | Alexandria | GGA-PBE | relaxed; uncorrected energy = -46.5 eV/f.u.; formation energy = -5.90 eV/f.u.
1.0
-2.222 2.222 7.780
2.222 -2.222 7.780
2.222 2.222 -7.780
Pm Sc Ge C
2 2 2 1
direct
0.165 0.165 0.000 Pm
0.835 0.835 0.000 Pm
0.000 0.500 0.500 Sc
0.500 0.000 0.500 Sc
0.370 0.370 0.000 Ge
0.630 0.630 0.000 Ge
0.000 0.000 0.000 C


2.
Li2HoBiS4 | Alexandria | GGA-PBE | relaxed; uncorrected energy = -39.1 eV/f.u.
1.0
6.650 0.000 0.000
0.000 3.934 0.000
-2.365 0.000 6.437
Li Ho Bi S
2 1 1 4
direct
0.000 0.000 0.000 Li
0.000 0.500 0.500 Li
0.500 0.000 0.500 Ho
0.500 0.500 0.000 Bi
0.241 0.000 0.738 S
0.249 0.500 0.256 S
0.751 0.500 0.744 S
0.759 0.000 0.262 S